Record 1
Density functional theory data (PBE) for La2HgAs2 after structural relaxation.

Properties
The formation energy is -515 kJ/mol of formula units. For the density of states at the Fermi level, the calculation gives 2.66 states/eV per cell. The value obtained for the magnetization is 0.0000 μB per atom.

Cell lengths 8.1785, 8.1785, 4.0038 Å; angles 90.00, 90.00, 90.00 degrees
Closest atoms and distances in Å follow each position.
Sites, in units of the cell vectors:
La (0.1564, 0.6564, 0.5000)  6 As 2.99-3.22
La (0.3436, 0.1564, 0.5000)  6 As 2.99-3.22
La (0.8436, 0.3436, 0.5000)  6 As 2.99-3.22
La (0.6564, 0.8436, 0.5000)  6 As 2.99-3.22
As (0.8485, 0.6515, 0.0000)  6 La 2.99-3.22, 2 Hg 3.11
As (0.6515, 0.1515, 0.0000)  6 La 2.99-3.22, 2 Hg 3.11
As (0.3485, 0.8485, 0.0000)  6 La 2.99-3.22, 2 Hg 3.11
As (0.1515, 0.3485, 0.0000)  6 La 2.99-3.22, 2 Hg 3.11
Hg (0.0000, 0.0000, 0.0000)  4 As 3.11
Hg (0.5000, 0.5000, 0.0000)  4 As 3.11

Record 2
Density functional theory data (PBE) for PuU5 after structural relaxation.

Properties
The formation energy is 94 kJ/mol of formula units. The value obtained for the magnetization is 0.3882 μB per atom.

Cell lengths 2.9978, 5.2108, 8.2103 Å; angles 108.50, 90.00, 90.00 degrees
Closest atoms and distances in Å follow each position.
Sites, in units of the cell vectors:
U (0.5000, 0.8334, 0.6668)  8 U 2.98-3.01, 2 Pu 3.00
U (0.0000, 0.3322, 0.6644)  10 U 2.98-3.01
U (0.0000, 0.6678, 0.3356)  10 U 2.98-3.01
U (0.5000, 0.5000, 0.0000)  6 U 3.00-3.01, 4 Pu 3.01
U (0.5000, 0.1666, 0.3332)  8 U 2.98-3.01, 2 Pu 3.00
Pu (0.0000, 0.0000, 0.0000)  8 U 3.00-3.01, 2 Pu 3.00

Record 3
Density functional theory data (PBE) for Al2RhPb after structural relaxation.

Properties
The formation energy is -66 kJ/mol of formula units. For the density of states at the Fermi level, the calculation gives 1.37 states/eV per cell. The value obtained for the magnetization is 0.0000 μB per atom.

Cell lengths 4.2416, 3.5545, 5.4687 Å; angles 70.46, 90.00, 90.00 degrees
Closest atoms and distances in Å follow each position.
Sites, in units of the cell vectors:
Al (0.5000, 0.2381, 0.1410)  2 Rh 2.57, 4 Al 2.83
Al (0.0000, 0.7972, 0.0238)  2 Rh 2.46, 1 Pb 2.74
Pb (0.0000, 0.5426, 0.5544)  3 Al 2.74-3.01, 4 Rh 2.99-3.01
Rh (0.5000, 0.9220, 0.7808)  4 Al 2.46-2.57

Record 4
Density functional theory data (PBE) for Li2Zr2PaTe6 after structural relaxation.

Properties
The value obtained for the uncorrected formation energy is -901 meV/atom. For the density of states at the Fermi level, the calculation gives 7.97 states/eV per cell. The value obtained for the magnetization is 0.1650 μB per atom.

Cell lengths 7.0368, 7.0368, 7.6533 Å; angles 98.76, 98.76, 119.80 degrees
Closest atoms and distances in Å follow each position.
Sites, in units of the cell vectors:
Te (0.2614, 0.2614, 0.2468)  2 Zr 2.96, 2 Li 2.97, 1 Pa 3.05
Te (0.0862, 0.4267, 0.7541)  2 Li 2.94-2.98, 2 Zr 2.96-2.98, 1 Pa 3.04
Te (0.5733, 0.9138, 0.2459)  2 Li 2.94-2.98, 2 Zr 2.96-2.98, 1 Pa 3.04
Te (0.4267, 0.0862, 0.7541)  2 Li 2.94-2.98, 2 Zr 2.96-2.98, 1 Pa 3.04
Te (0.9138, 0.5733, 0.2459)  2 Li 2.94-2.98, 2 Zr 2.96-2.98, 1 Pa 3.04
Te (0.7386, 0.7386, 0.7532)  2 Zr 2.96, 2 Li 2.97, 1 Pa 3.05
Zr (0.6668, 0.3332, 0.5000)  6 Te 2.96-2.98
Zr (0.3332, 0.6668, 0.5000)  6 Te 2.96-2.98
Pa (0.0000, 0.0000, 0.5000)  6 Te 3.04-3.05
Li (0.1636, 0.8364, 0.0000)  6 Te 2.94-2.98
Li (0.8364, 0.1636, 0.0000)  6 Te 2.94-2.98

Record 5
Density functional theory data (PBE) for K2Tm2TiS6 after structural relaxation.

Properties
The value obtained for the uncorrected formation energy is -1701 meV/atom. The value obtained for the magnetization is 0.0000 μB per atom.

Cell lengths 6.5920, 6.5920, 7.8564 Å; angles 98.42, 98.42, 119.48 degrees
Closest atoms and distances in Å follow each position.
Sites, in units of the cell vectors:
S (0.9336, 0.6243, 0.3093)  1 Ti 2.49, 2 Tm 2.69-2.70
S (0.0664, 0.3757, 0.6907)  1 Ti 2.49, 2 Tm 2.69-2.70
S (0.3757, 0.0664, 0.6907)  1 Ti 2.49, 2 Tm 2.69-2.70
S (0.6243, 0.9336, 0.3093)  1 Ti 2.49, 2 Tm 2.69-2.70
S (0.2419, 0.2419, 0.3115)  1 Ti 2.48, 2 Tm 2.70
S (0.7581, 0.7581, 0.6885)  1 Ti 2.48, 2 Tm 2.70
Ti (0.0000, 0.0000, 0.5000)  6 S 2.48-2.49
Tm (0.3331, 0.6669, 0.5000)  6 S 2.69-2.70
Tm (0.6669, 0.3331, 0.5000)  6 S 2.69-2.70
K (0.8291, 0.1709, 0.0000)  6 S 3.17-3.27
K (0.1709, 0.8291, 0.0000)  6 S 3.17-3.27

Record 6
Density functional theory data (PBE) for NpInSn2Br8 after structural relaxation.

Properties
The value obtained for the uncorrected formation energy is -913 meV/atom. For the density of states at the Fermi level, the calculation gives 4.89 states/eV per cell. The value obtained for the magnetization is 0.3333 μB per atom.

Cell lengths 7.2216, 6.9652, 9.1106 Å; angles 90.02, 90.04, 88.99 degrees
Closest atoms and distances in Å follow each position.
Sites, in units of the cell vectors:
Br (0.3215, 0.2475, 0.0005)  1 Np 2.92, 2 Sn 3.19-3.20
Br (0.6785, 0.7525, 0.9995)  1 Np 2.92, 2 Sn 3.19-3.20
Br (0.1596, 0.7559, 0.2251)  1 Np 2.89, 1 Sn 3.02, 1 In 3.23
Br (0.3609, 0.2769, 0.4995)  2 Sn 2.91-2.92
Br (0.8399, 0.2437, 0.2250)  1 Np 2.89, 1 Sn 3.02, 1 In 3.23
Br (0.6391, 0.7231, 0.5005)  2 Sn 2.91-2.92
Br (0.8404, 0.2441, 0.7749)  1 Np 2.89, 1 Sn 3.02, 1 In 3.23
Br (0.1601, 0.7563, 0.7750)  1 Np 2.89, 1 Sn 3.02, 1 In 3.23
Np (0.0000, 0.0000, 0.0000)  6 Br 2.89-2.92
In (0.0000, 0.0000, 0.5000)  6 Br 3.23-3.27
Sn (0.4998, 0.4999, 0.2543)  6 Br 2.91-3.20
Sn (0.5002, 0.5001, 0.7457)  6 Br 2.91-3.20